BeIrPt3: optimized geometry, PBE.

POSCAR file:
```
BeIrPt3
1.0
-3.218 2.691 0.038
-0.412 -0.434 -4.152
-2.660 -3.189 0.597
Pt Ir Be
3 1 1
direct
0.000 0.000 0.500 Pt
0.000 0.500 0.000 Pt
0.500 0.000 0.000 Pt
0.500 0.500 0.500 Ir
0.000 0.000 0.000 Be
```

SG: Pm-3m, No. 221
Formation energy in kcal/mol of atoms: 7.6
E_tot in eV per atom: -5.81

***

BeIr2Pt: optimized geometry, PBE.

POSCAR file:
```
BeIr2Pt
1.0
-0.683 2.521 0.925
-1.184 0.574 -2.438
-5.938 -2.456 2.307
Be Pt Ir
1 1 2
direct
0.500 0.500 0.752 Be
0.000 0.000 0.544 Pt
0.500 0.500 0.240 Ir
0.000 0.000 0.963 Ir
```

SG: P4mm, No. 99
Formation energy in kcal/mol of atoms: -6.0
E_tot in eV per atom: -7.13

***

BeIrPt2: optimized geometry, PBE.

POSCAR file:
```
BeIrPt2
1.0
6.079 0.005 0.016
-2.422 3.944 -0.004
1.235 0.764 2.338
Be Pt Ir
1 2 1
direct
0.000 0.500 0.500 Be
0.000 0.000 0.000 Pt
0.500 0.000 0.500 Pt
0.500 0.500 0.000 Ir
```

SG: Cmmm, No. 65
Formation energy in kcal/mol of atoms: -4.6
E_tot in eV per atom: -6.37

***

Be4IrPt: optimized geometry, PBE.

POSCAR file:
```
Be4IrPt
1.0
0.000 3.118 3.118
3.118 0.000 3.118
3.118 3.118 0.000
Be Pt Ir
4 1 1
direct
0.375 0.375 0.874 Be
0.874 0.375 0.375 Be
0.375 0.375 0.375 Be
0.375 0.874 0.375 Be
0.000 0.000 0.000 Pt
0.750 0.750 0.750 Ir
```

SG: F-43m, No. 216
Formation energy in kcal/mol of atoms: -10.0
E_tot in eV per atom: -5.40

***

Please write out number 3 again, unchanged.
BeIrPt2: optimized geometry, PBE.

POSCAR file:
```
BeIrPt2
1.0
6.079 0.005 0.016
-2.422 3.944 -0.004
1.235 0.764 2.338
Be Pt Ir
1 2 1
direct
0.000 0.500 0.500 Be
0.000 0.000 0.000 Pt
0.500 0.000 0.500 Pt
0.500 0.500 0.000 Ir
```

SG: Cmmm, No. 65
Formation energy in kcal/mol of atoms: -4.6
E_tot in eV per atom: -6.37